# 1
# CaLa3Ag4

A relaxed structure of CaLa3Ag4 (PBE-GGA, the Alexandria database).

Output
energy relative to the elements	-282	meV/atom
space-group type	No. 123
DOS at the Fermi energy	6.06	states/eV/cell

Structure (CIF):
```
data_CaLa3Ag4
_space_group_name_H-M_alt 'P 1'
_space_group_IT_number 1
_space_group_name_Hall 'P 1'
_cell_length_a 5.377
_cell_length_b 5.377
_cell_length_c 7.576
_cell_angle_alpha 90.00
_cell_angle_beta 90.00
_cell_angle_gamma 90.00
loop_
_atom_site_label
_atom_site_type_symbol
_atom_site_fract_x
_atom_site_fract_y
_atom_site_fract_z
Ca1 Ca 0.000 0.000 0.000
La1 La 0.000 0.000 0.500
La2 La 0.500 0.500 0.000
La3 La 0.500 0.500 0.500
Ag1 Ag 0.000 0.500 0.247
Ag2 Ag 0.000 0.500 0.753
Ag3 Ag 0.500 0.000 0.247
Ag4 Ag 0.500 0.000 0.753
```

---

# 2
# Ca2Sn3GeRh4

A relaxed structure of Ca2Sn3GeRh4 (PBE-GGA, the Alexandria database).

Output
energy relative to the elements	-620	meV/atom
space-group type	No. 115
DOS at the Fermi energy	2.96	states/eV/cell

Structure (CIF):
```
data_Ca2Sn3GeRh4
_space_group_name_H-M_alt 'P 1'
_space_group_IT_number 1
_space_group_name_Hall 'P 1'
_cell_length_a 4.459
_cell_length_b 4.459
_cell_length_c 10.594
_cell_angle_alpha 90.00
_cell_angle_beta 90.00
_cell_angle_gamma 90.00
loop_
_atom_site_label
_atom_site_type_symbol
_atom_site_fract_x
_atom_site_fract_y
_atom_site_fract_z
Ca1 Ca 0.000 0.500 0.250
Ca2 Ca 0.500 0.000 0.750
Sn1 Sn 0.000 0.000 0.000
Sn2 Sn 0.000 0.500 0.631
Sn3 Sn 0.500 0.000 0.369
Ge1 Ge 0.500 0.500 0.000
Rh1 Rh 0.000 0.000 0.500
Rh2 Rh 0.000 0.500 0.877
Rh3 Rh 0.500 0.000 0.123
Rh4 Rh 0.500 0.500 0.500
```

---

# 3
# TbTmLuMg

A relaxed structure of TbTmLuMg (PBE-GGA, the Alexandria database).

Output
energy relative to the elements	34	meV/atom
space-group type	No. 216
DOS at the Fermi energy	14.92	states/eV/cell

Structure (CIF):
```
data_TbTmLuMg
_space_group_name_H-M_alt 'P 1'
_space_group_IT_number 1
_space_group_name_Hall 'P 1'
_cell_length_a 7.694
_cell_length_b 7.694
_cell_length_c 7.694
_cell_angle_alpha 90.00
_cell_angle_beta 90.00
_cell_angle_gamma 90.00
loop_
_atom_site_label
_atom_site_type_symbol
_atom_site_fract_x
_atom_site_fract_y
_atom_site_fract_z
Tb1 Tb 0.000 0.000 0.000
Tb2 Tb 0.000 0.500 0.500
Tb3 Tb 0.500 0.000 0.500
Tb4 Tb 0.500 0.500 0.000
Tm1 Tm 0.000 0.000 0.500
Tm2 Tm 0.000 0.500 0.000
Tm3 Tm 0.500 0.000 0.000
Tm4 Tm 0.500 0.500 0.500
Lu1 Lu 0.250 0.250 0.250
Lu2 Lu 0.250 0.750 0.750
Lu3 Lu 0.750 0.250 0.750
Lu4 Lu 0.750 0.750 0.250
Mg1 Mg 0.250 0.250 0.750
Mg2 Mg 0.250 0.750 0.250
Mg3 Mg 0.750 0.250 0.250
Mg4 Mg 0.750 0.750 0.750
```

---

# 4
# Re2MoAu

A relaxed structure of Re2MoAu (PBE-GGA, the Alexandria database).

Output
energy relative to the elements	563	meV/atom
space-group type	No. 225
DOS at the Fermi energy	12.12	states/eV/cell

Structure (CIF):
```
data_Re2MoAu
_space_group_name_H-M_alt 'P 1'
_space_group_IT_number 1
_space_group_name_Hall 'P 1'
_cell_length_a 6.337
_cell_length_b 6.337
_cell_length_c 6.337
_cell_angle_alpha 90.00
_cell_angle_beta 90.00
_cell_angle_gamma 90.00
loop_
_atom_site_label
_atom_site_type_symbol
_atom_site_fract_x
_atom_site_fract_y
_atom_site_fract_z
Re1 Re 0.250 0.250 0.250
Re2 Re 0.250 0.250 0.750
Re3 Re 0.250 0.750 0.250
Re4 Re 0.250 0.750 0.750
Re5 Re 0.750 0.250 0.250
Re6 Re 0.750 0.250 0.750
Re7 Re 0.750 0.750 0.250
Re8 Re 0.750 0.750 0.750
Mo1 Mo 0.000 0.000 0.000
Mo2 Mo 0.000 0.500 0.500
Mo3 Mo 0.500 0.000 0.500
Mo4 Mo 0.500 0.500 0.000
Au1 Au 0.000 0.000 0.500
Au2 Au 0.000 0.500 0.000
Au3 Au 0.500 0.000 0.000
Au4 Au 0.500 0.500 0.500
```

---

# 5
# Tc2Ni8Ir

A relaxed structure of Tc2Ni8Ir (PBE-GGA, the Alexandria database).

Output
energy relative to the elements	28	meV/atom
space-group type	No. 12
DOS at the Fermi energy	17.55	states/eV/cell

Structure (CIF):
```
data_Tc2Ni8Ir
_space_group_name_H-M_alt 'P 1'
_space_group_IT_number 1
_space_group_name_Hall 'P 1'
_cell_length_a 6.762
_cell_length_b 6.762
_cell_length_c 7.710
_cell_angle_alpha 93.59
_cell_angle_beta 93.59
_cell_angle_gamma 21.93
loop_
_atom_site_label
_atom_site_type_symbol
_atom_site_fract_x
_atom_site_fract_y
_atom_site_fract_z
Tc1 Tc 0.226 0.226 0.143
Tc2 Tc 0.774 0.774 0.857
Ni1 Ni 0.047 0.047 0.227
Ni2 Ni 0.136 0.136 0.685
Ni3 Ni 0.318 0.318 0.585
Ni4 Ni 0.411 0.411 0.047
Ni5 Ni 0.589 0.589 0.953
Ni6 Ni 0.682 0.682 0.415
Ni7 Ni 0.864 0.864 0.315
Ni8 Ni 0.953 0.953 0.773
Ir1 Ir 0.500 0.500 0.500
```

---

# 6
# Sm12Er6Th

A relaxed structure of Sm12Er6Th (PBE-GGA, the Alexandria database).

Output
energy relative to the elements	133	meV/atom
space-group type	No. 148
DOS at the Fermi energy	31.04	states/eV/cell

Structure (CIF):
```
data_Sm12Er6Th
_space_group_name_H-M_alt 'P 1'
_space_group_IT_number 1
_space_group_name_Hall 'P 1'
_cell_length_a 8.599
_cell_length_b 8.599
_cell_length_c 8.599
_cell_angle_alpha 88.96
_cell_angle_beta 88.96
_cell_angle_gamma 88.96
loop_
_atom_site_label
_atom_site_type_symbol
_atom_site_fract_x
_atom_site_fract_y
_atom_site_fract_z
Sm1 Sm 0.015 0.356 0.198
Sm2 Sm 0.198 0.015 0.356
Sm3 Sm 0.219 0.563 0.463
Sm4 Sm 0.356 0.198 0.015
Sm5 Sm 0.437 0.537 0.781
Sm6 Sm 0.463 0.219 0.563
Sm7 Sm 0.537 0.781 0.437
Sm8 Sm 0.563 0.463 0.219
Sm9 Sm 0.644 0.802 0.985
Sm10 Sm 0.781 0.437 0.537
Sm11 Sm 0.802 0.985 0.644
Sm12 Sm 0.985 0.644 0.802
Er1 Er 0.098 0.255 0.700
Er2 Er 0.255 0.700 0.098
Er3 Er 0.300 0.902 0.745
Er4 Er 0.700 0.098 0.255
Er5 Er 0.745 0.300 0.902
Er6 Er 0.902 0.745 0.300
Th1 Th 0.000 0.000 0.000
```

---

# 7
# AlCo4Rh

A relaxed structure of AlCo4Rh (PBE-GGA, the Alexandria database).

Output
energy relative to the elements	-82	meV/atom
space-group type	No. 216
DOS at the Fermi energy	7.05	states/eV/cell

Structure (CIF):
```
data_AlCo4Rh
_space_group_name_H-M_alt 'P 1'
_space_group_IT_number 1
_space_group_name_Hall 'P 1'
_cell_length_a 4.700
_cell_length_b 4.700
_cell_length_c 4.700
_cell_angle_alpha 60.00
_cell_angle_beta 60.00
_cell_angle_gamma 60.00
loop_
_atom_site_label
_atom_site_type_symbol
_atom_site_fract_x
_atom_site_fract_y
_atom_site_fract_z
Al1 Al 0.000 0.000 0.000
Co1 Co 0.124 0.625 0.625
Co2 Co 0.625 0.124 0.625
Co3 Co 0.625 0.625 0.124
Co4 Co 0.625 0.625 0.625
Rh1 Rh 0.250 0.250 0.250
```

---

# 8
# Be2VCl

A relaxed structure of Be2VCl (PBE-GGA, the Alexandria database).

Output
space-group type	No. 225
DOS at the Fermi energy	15.68	states/eV/cell
E_form (uncorrected)	1194.8	meV per atom

Structure (CIF):
```
data_Be2VCl
_space_group_name_H-M_alt 'P 1'
_space_group_IT_number 1
_space_group_name_Hall 'P 1'
_cell_length_a 5.993
_cell_length_b 5.993
_cell_length_c 5.993
_cell_angle_alpha 90.00
_cell_angle_beta 90.00
_cell_angle_gamma 90.00
loop_
_atom_site_label
_atom_site_type_symbol
_atom_site_fract_x
_atom_site_fract_y
_atom_site_fract_z
Be1 Be 0.250 0.250 0.250
Be2 Be 0.250 0.250 0.750
Be3 Be 0.250 0.750 0.250
Be4 Be 0.250 0.750 0.750
Be5 Be 0.750 0.250 0.250
Be6 Be 0.750 0.250 0.750
Be7 Be 0.750 0.750 0.250
Be8 Be 0.750 0.750 0.750
V1 V 0.000 0.000 0.000
V2 V 0.000 0.500 0.500
V3 V 0.500 0.000 0.500
V4 V 0.500 0.500 0.000
Cl1 Cl 0.000 0.000 0.500
Cl2 Cl 0.000 0.500 0.000
Cl3 Cl 0.500 0.000 0.000
Cl4 Cl 0.500 0.500 0.500
```

---

# 9
# Ba7Tl4H

A relaxed structure of Ba7Tl4H (PBE-GGA, the Alexandria database).

Output
total DFT energy (no corrections)	-2.46	eV per atom
space-group type	No. 12
DOS at the Fermi energy	12.21	states/eV/cell

Structure (CIF):
```
data_Ba7Tl4H
_space_group_name_H-M_alt 'P 1'
_space_group_IT_number 1
_space_group_name_Hall 'P 1'
_cell_length_a 9.570
_cell_length_b 9.570
_cell_length_c 12.780
_cell_angle_alpha 127.54
_cell_angle_beta 127.54
_cell_angle_gamma 36.03
loop_
_atom_site_label
_atom_site_type_symbol
_atom_site_fract_x
_atom_site_fract_y
_atom_site_fract_z
Ba1 Ba 0.000 0.000 0.000
Ba2 Ba 0.136 0.136 0.565
Ba3 Ba 0.287 0.287 0.146
Ba4 Ba 0.439 0.439 0.744
Ba5 Ba 0.561 0.561 0.256
Ba6 Ba 0.713 0.713 0.854
Ba7 Ba 0.864 0.864 0.435
Tl1 Tl 0.070 0.070 0.789
Tl2 Tl 0.217 0.217 0.375
Tl3 Tl 0.783 0.783 0.625
Tl4 Tl 0.930 0.930 0.211
H1 H 0.500 0.500 0.000
```

---

# 10
# AcLa5Pb5

A relaxed structure of AcLa5Pb5 (PBE-GGA, the Alexandria database).

Output
energy relative to the elements	-376	meV/atom
space-group type	No. 12
DOS at the Fermi energy	12.27	states/eV/cell

Structure (CIF):
```
data_AcLa5Pb5
_space_group_name_H-M_alt 'P 1'
_space_group_IT_number 1
_space_group_name_Hall 'P 1'
_cell_length_a 8.218
_cell_length_b 8.218
_cell_length_c 9.155
_cell_angle_alpha 105.71
_cell_angle_beta 105.71
_cell_angle_gamma 47.70
loop_
_atom_site_label
_atom_site_type_symbol
_atom_site_fract_x
_atom_site_fract_y
_atom_site_fract_z
Ac1 Ac 0.000 0.000 0.000
La1 La 0.000 0.000 0.500
La2 La 0.328 0.328 0.160
La3 La 0.336 0.336 0.665
La4 La 0.664 0.664 0.335
La5 La 0.672 0.672 0.840
Pb1 Pb 0.168 0.168 0.343
Pb2 Pb 0.168 0.168 0.820
Pb3 Pb 0.500 0.500 0.000
Pb4 Pb 0.832 0.832 0.180
Pb5 Pb 0.832 0.832 0.657
```